# 1
Computed, not measured: crystalline AsSBrCl2 at its relaxed geometry at the GGA-PBE level of DFT.

Symmetry: P4/mmm, No. 123
E_form (uncorrected) in eV per formula unit: 0.89
Uncorrected energy in eV per atom: -2.651
DOS at the Fermi energy in states/eV per atom: 0.46
ΔE to the lowest computed polymorph in meV per atom: 0

Geometry as CIF:
```
data_AsSBrCl2
_chemical_formula_sum 'As1 S1 Br1 Cl2'
_symmetry_space_group_name_H-M 'P 1'
_symmetry_Int_Tables_number 1
_cell_length_a 4.7850
_cell_length_b 4.7850
_cell_length_c 5.4050
_cell_angle_alpha 90.00
_cell_angle_beta 90.00
_cell_angle_gamma 90.00
loop_
_symmetry_equiv_pos_as_xyz
'x,y,z'
loop_
_atom_site_label
_atom_site_fract_x
_atom_site_fract_y
_atom_site_fract_z
As1 0.0000 0.0000 0.0000
S1 0.0000 0.0000 0.5000
Br1 0.5000 0.5000 0.5000
Cl1 0.0000 0.5000 0.0000
Cl2 0.5000 0.0000 0.0000
```

# 2
Computed, not measured: crystalline As2SBrCl at its relaxed geometry at the GGA-PBE level of DFT.

Symmetry: P4/mmm, No. 123
E_form (uncorrected) in eV per formula unit: 6.12
Uncorrected energy in eV per atom: -2.166
DOS at the Fermi energy in states/eV per atom: 0.65
ΔE to the lowest computed polymorph in meV per atom: 563

Geometry as CIF:
```
data_As2SBrCl
_chemical_formula_sum 'As2 S1 Br1 Cl1'
_symmetry_space_group_name_H-M 'P 1'
_symmetry_Int_Tables_number 1
_cell_length_a 5.0858
_cell_length_b 5.0858
_cell_length_c 4.9786
_cell_angle_alpha 90.00
_cell_angle_beta 90.00
_cell_angle_gamma 90.00
loop_
_symmetry_equiv_pos_as_xyz
'x,y,z'
loop_
_atom_site_label
_atom_site_fract_x
_atom_site_fract_y
_atom_site_fract_z
As1 0.0000 0.5000 0.0000
As2 0.5000 0.0000 0.0000
S1 0.0000 0.0000 0.5000
Br1 0.5000 0.5000 0.5000
Cl1 0.5000 0.5000 0.0000
```

# 3
Computed, not measured: crystalline AsSBr2Cl at its relaxed geometry at the GGA-PBE level of DFT.

Symmetry: P4/mmm, No. 123
E_form (uncorrected) in eV per formula unit: 2.56
Uncorrected energy in eV per atom: -2.281
DOS at the Fermi energy in states/eV per atom: 0.61
ΔE to the lowest computed polymorph in meV per atom: 0

Geometry as CIF:
```
data_AsSBr2Cl
_chemical_formula_sum 'As1 S1 Br2 Cl1'
_symmetry_space_group_name_H-M 'P 1'
_symmetry_Int_Tables_number 1
_cell_length_a 4.9408
_cell_length_b 4.9408
_cell_length_c 5.3896
_cell_angle_alpha 90.00
_cell_angle_beta 90.00
_cell_angle_gamma 90.00
loop_
_symmetry_equiv_pos_as_xyz
'x,y,z'
loop_
_atom_site_label
_atom_site_fract_x
_atom_site_fract_y
_atom_site_fract_z
As1 0.0000 0.0000 0.0000
S1 0.0000 0.0000 0.5000
Br1 0.0000 0.5000 0.5000
Br2 0.5000 0.0000 0.5000
Cl1 0.5000 0.5000 0.0000
```

Question: What is the uncorrected energy in the second record?
Answer: -2.166 eV per atom

Question: Number 1 is which compound?
Answer: AsSBrCl2